## CeSmCoBr (PBE)

Data for a geometry-optimized CeSmCoBr structure.

Its size of the total moment is 0.50 μB/f.u. For the total energy, the calculation gives -0.411 Ry per atom. The space group is R3m, No. 160.

Structure (POSCAR):
```
CeSmCoBr
1.0
1.9578 1.1304 7.7614
-1.9578 1.1304 7.7614
0.0000 -2.2607 7.7614
Ce Sm Co Br
1 1 1 1
Direct
0.0000 0.0000 0.0000
0.2070 0.2070 0.2070
0.6115 0.6115 0.6115
0.4386 0.4386 0.4386
```